Compound: In2SnPb5
Source: Alexandria
Functional: PBE
Structure: relaxed

POSCAR file:
```
In2SnPb5
1.0
-2.370 -5.836 5.538
1.020 -5.945 -5.828
7.254 5.089 2.115
Pb In Sn
10 4 2
direct
0.311 0.811 0.322
0.189 0.988 0.678
0.500 0.500 0.000
0.012 0.512 0.322
0.512 0.311 0.322
0.811 0.012 0.322
0.488 0.689 0.678
0.689 0.189 0.678
0.988 0.488 0.678
0.000 0.000 0.000
0.141 0.359 0.000
0.859 0.641 0.000
0.359 0.859 0.000
0.641 0.141 0.000
0.750 0.750 0.500
0.250 0.250 0.500
```

VASP energy: -3.441 eV per atom
N(E_F): 3.78 states/eV/f.u.
symmetry: I4/mcm, No. 140
formation energy: 0.062 eV per atom
excess energy over the best structure of this formula in the dataset: 0.34 eV/f.u.

***

Compound: PmYInGa
Source: Alexandria
Functional: PBE
Structure: relaxed

POSCAR file:
```
PmYInGa
1.0
5.266 0.000 0.000
2.633 4.560 0.000
2.633 1.520 4.299
Pm Ga In Y
1 1 1 1
direct
0.500 0.500 0.500
0.750 0.750 0.750
0.250 0.250 0.250
0.000 0.000 0.000
```

VASP energy: -4.764 eV per atom
N(E_F): 1.45 states/eV/f.u.
symmetry: F-43m, No. 216
formation energy: -0.519 eV per atom
excess energy over the best structure of this formula in the dataset: 0.08 eV/f.u.

***

Compound: Zn2In5Pd12
Source: Alexandria
Functional: PBE
Structure: relaxed

POSCAR file:
```
Zn2In5Pd12
1.0
-0.466 4.735 -2.988
-5.912 -0.228 5.843
8.876 2.416 2.442
Pd In Zn
12 5 2
direct
0.849 0.698 0.750
0.495 0.990 0.768
0.083 0.676 0.999
0.100 0.699 0.499
0.599 0.699 0.499
0.401 0.301 0.501
0.151 0.302 0.250
0.900 0.301 0.501
0.505 0.010 0.232
0.593 0.676 0.999
0.407 0.324 0.001
0.917 0.324 0.001
0.691 0.382 0.268
0.309 0.618 0.732
0.334 0.667 0.245
0.000 0.000 0.500
0.666 0.333 0.755
0.232 0.000 0.000
0.768 0.000 0.000
```

VASP energy: -4.415 eV per atom
N(E_F): 6.85 states/eV/f.u.
symmetry: C2/m, No. 12
formation energy: -0.280 eV per atom

***

Compound: P2IrAu
Source: Alexandria
Functional: PBE
Structure: relaxed

POSCAR file:
```
P2IrAu
1.0
2.925 0.000 0.000
0.000 2.925 0.000
0.000 0.000 7.404
Au P Ir
1 2 1
direct
0.500 0.500 0.250
0.000 0.000 0.959
0.000 0.000 0.541
0.500 0.500 0.750
```

VASP energy: -5.485 eV per atom
N(E_F): 2.93 states/eV/f.u.
symmetry: P4/mmm, No. 123
formation energy: 0.254 eV per atom
excess energy over the best structure of this formula in the dataset: 1.92 eV/f.u.

***

Compound: LaTb2Pr2Y4
Source: Alexandria
Functional: PBE
Structure: relaxed

POSCAR file:
```
LaTb2Pr2Y4
1.0
-0.269 3.403 1.302
-8.913 -3.304 1.673
6.535 -2.100 6.839
Y Pr La Tb
4 2 1 2
direct
0.520 0.039 0.338
0.814 0.627 0.663
0.186 0.373 0.337
0.480 0.961 0.662
0.667 0.334 0.999
0.333 0.666 0.001
0.000 0.000 0.000
0.853 0.705 0.337
0.147 0.295 0.663
```

VASP energy: -5.516 eV per atom
N(E_F): 13.28 states/eV/f.u.
symmetry: C2/m, No. 12
formation energy: -0.005 eV per atom

***

Compound: TbHoZr2As4
Source: Alexandria
Functional: PBE
Structure: relaxed

POSCAR file:
```
TbHoZr2As4
1.0
3.965 0.000 0.000
0.000 6.874 0.116
0.000 -2.408 6.527
Ho Tb As Zr
1 1 4 2
direct
0.000 0.000 0.000
0.500 0.500 0.000
0.500 0.747 0.738
0.500 0.253 0.262
0.000 0.244 0.737
0.000 0.756 0.263
0.500 0.000 0.500
0.000 0.500 0.500
```

VASP energy: -6.930 eV per atom
N(E_F): 4.37 states/eV/f.u.
symmetry: P2/m, No. 10
formation energy: -1.317 eV per atom